# 1
# PBE-GGA Cu2Ag5, optimized geometry
data_Cu2Ag5
_chemical_formula_sum 'Cu2 Ag5'
_cell_length_a 4.918
_cell_length_b 4.942
_cell_length_c 4.947
_cell_angle_alpha 98.86
_cell_angle_beta 100.14
_cell_angle_gamma 99.63
_symmetry_space_group_name_H-M 'P 1'
_symmetry_Int_Tables_number 1
_symmetry_space_group_name_Hall 'P 1'
loop_
_atom_site_label
_atom_site_type_symbol
_atom_site_fract_x
_atom_site_fract_y
_atom_site_fract_z
Cu1 Cu 0.136 0.069 0.282
Cu2 Cu 0.864 0.931 0.718
Ag1 Ag 0.000 0.500 0.000
Ag2 Ag 0.286 0.649 0.565
Ag3 Ag 0.413 0.204 0.851
Ag4 Ag 0.587 0.796 0.149
Ag5 Ag 0.714 0.351 0.435
# Energy of formation in eV/f.u.: 0.5

# 2
# PBE-GGA Cu3Ag2, optimized geometry
data_Cu3Ag2
_chemical_formula_sum 'Cu6 Ag4'
_cell_length_a 4.714
_cell_length_b 4.730
_cell_length_c 7.181
_cell_angle_alpha 108.32
_cell_angle_beta 102.31
_cell_angle_gamma 100.59
_symmetry_space_group_name_H-M 'P 1'
_symmetry_Int_Tables_number 1
_symmetry_space_group_name_Hall 'P 1'
loop_
_atom_site_label
_atom_site_type_symbol
_atom_site_fract_x
_atom_site_fract_y
_atom_site_fract_z
Cu1 Cu 0.060 0.104 0.353
Cu2 Cu 0.146 0.289 0.052
Cu3 Cu 0.357 0.699 0.453
Cu4 Cu 0.643 0.301 0.547
Cu5 Cu 0.854 0.711 0.948
Cu6 Cu 0.940 0.896 0.647
Ag1 Ag 0.229 0.489 0.740
Ag2 Ag 0.441 0.896 0.156
Ag3 Ag 0.559 0.104 0.844
Ag4 Ag 0.771 0.511 0.260
# Energy of formation in eV/f.u.: 0.5

# 3
# PBE-GGA Cu3Ag2, optimized geometry
data_Cu3Ag2
_chemical_formula_sum 'Cu6 Ag4'
_cell_length_a 7.119
_cell_length_b 7.119
_cell_length_c 5.475
_cell_angle_alpha 98.56
_cell_angle_beta 98.56
_cell_angle_gamma 31.52
_symmetry_space_group_name_H-M 'P 1'
_symmetry_Int_Tables_number 1
_symmetry_space_group_name_Hall 'P 1'
loop_
_atom_site_label
_atom_site_type_symbol
_atom_site_fract_x
_atom_site_fract_y
_atom_site_fract_z
Cu1 Cu 0.004 0.004 0.233
Cu2 Cu 0.196 0.196 0.342
Cu3 Cu 0.407 0.407 0.954
Cu4 Cu 0.593 0.593 0.046
Cu5 Cu 0.804 0.804 0.658
Cu6 Cu 0.996 0.996 0.767
Ag1 Ag 0.199 0.199 0.848
Ag2 Ag 0.400 0.400 0.460
Ag3 Ag 0.600 0.600 0.540
Ag4 Ag 0.801 0.801 0.152
# Energy of formation in eV/f.u.: 0.5

# 4
# PBE-GGA Cu3Ag2, optimized geometry
data_Cu3Ag2
_chemical_formula_sum 'Cu6 Ag4'
_cell_length_a 11.201
_cell_length_b 11.201
_cell_length_c 4.677
_cell_angle_alpha 96.03
_cell_angle_beta 96.03
_cell_angle_gamma 14.19
_symmetry_space_group_name_H-M 'P 1'
_symmetry_Int_Tables_number 1
_symmetry_space_group_name_Hall 'P 1'
loop_
_atom_site_label
_atom_site_type_symbol
_atom_site_fract_x
_atom_site_fract_y
_atom_site_fract_z
Cu1 Cu 0.057 0.057 0.342
Cu2 Cu 0.246 0.246 0.726
Cu3 Cu 0.348 0.348 0.452
Cu4 Cu 0.652 0.652 0.548
Cu5 Cu 0.754 0.754 0.274
Cu6 Cu 0.943 0.943 0.658
Ag1 Ag 0.156 0.156 0.054
Ag2 Ag 0.453 0.453 0.177
Ag3 Ag 0.547 0.547 0.823
Ag4 Ag 0.844 0.844 0.946
# Energy of formation in eV/f.u.: 0.5

# 5
# PBE-GGA CuAg2, optimized geometry
data_CuAg2
_chemical_formula_sum 'Cu3 Ag6'
_cell_length_a 4.937
_cell_length_b 4.937
_cell_length_c 11.576
_cell_angle_alpha 112.51
_cell_angle_beta 112.51
_cell_angle_gamma 33.87
_symmetry_space_group_name_H-M 'P 1'
_symmetry_Int_Tables_number 1
_symmetry_space_group_name_Hall 'P 1'
loop_
_atom_site_label
_atom_site_type_symbol
_atom_site_fract_x
_atom_site_fract_y
_atom_site_fract_z
Cu1 Cu 0.000 0.000 0.000
Cu2 Cu 0.344 0.344 0.798
Cu3 Cu 0.656 0.656 0.202
Ag1 Ag 0.010 0.010 0.328
Ag2 Ag 0.329 0.329 0.431
Ag3 Ag 0.334 0.334 0.109
Ag4 Ag 0.666 0.666 0.891
Ag5 Ag 0.671 0.671 0.569
Ag6 Ag 0.990 0.990 0.672
# Energy of formation in eV/f.u.: 0.3

# 6
# PBE-GGA Cu3Ag2, optimized geometry
data_Cu3Ag2
_chemical_formula_sum 'Cu6 Ag4'
_cell_length_a 9.498
_cell_length_b 9.498
_cell_length_c 5.533
_cell_angle_alpha 98.49
_cell_angle_beta 98.49
_cell_angle_gamma 16.85
_symmetry_space_group_name_H-M 'P 1'
_symmetry_Int_Tables_number 1
_symmetry_space_group_name_Hall 'P 1'
loop_
_atom_site_label
_atom_site_type_symbol
_atom_site_fract_x
_atom_site_fract_y
_atom_site_fract_z
Cu1 Cu 0.112 0.112 0.304
Cu2 Cu 0.290 0.290 0.878
Cu3 Cu 0.295 0.295 0.417
Cu4 Cu 0.705 0.705 0.583
Cu5 Cu 0.710 0.710 0.122
Cu6 Cu 0.888 0.888 0.696
Ag1 Ag 0.114 0.114 0.811
Ag2 Ag 0.500 0.500 0.000
Ag3 Ag 0.500 0.500 0.500
Ag4 Ag 0.886 0.886 0.189
# Energy of formation in eV/f.u.: 0.4